Here is a geometry-optimized Y3PaPt12 structure from Alexandria. Energies are from PBE.

The structure in POSCAR format:
```
Y3PaPt12
1.0
4.142 0.000 0.000
0.000 4.142 0.000
0.000 0.000 16.522
Pa Pt Y
1 12 3
direct
0.000 0.000 0.000
0.000 0.500 0.375
0.500 0.500 0.000
0.500 0.000 0.877
0.500 0.000 0.375
0.500 0.000 0.123
0.000 0.500 0.877
0.500 0.500 0.500
0.500 0.000 0.625
0.000 0.500 0.123
0.500 0.500 0.250
0.000 0.500 0.625
0.500 0.500 0.750
0.000 0.000 0.254
0.000 0.000 0.746
0.000 0.000 0.500
```

The total energy is -7.38 eV per atom. The space-group type is P4/mmm, No. 123. The calculation puts the formation enthalpy at 0 K at -16.64 eV/f.u. The density of states at the Fermi level is 8.69 states/eV/f.u.